1.
A crystal of Ta2Cr relaxed with PBEsol, computed with SCAN.

Summary:
Total DFT energy (no corrections) in eV/f.u.: -149.86
Space group: Fd-3m (227)
Spin magnetization in μB/cell: 6.0
Crystal system: cubic

a = 5.2560 Å, b = 5.2560 Å, c = 5.2560 Å
α = 60.00°, β = 60.00°, γ = 60.00°
Site moments in Bohr magnetons follow the coordinates.
Atoms (fractional coordinates):
Cr 0.0000 0.0000 0.0000  3.27
Cr 0.2500 0.2500 0.2500  3.27
Ta 0.6250 0.6250 0.6250  -0.23
Ta 0.1250 0.6250 0.6250  -0.23
Ta 0.6250 0.1250 0.6250  -0.23
Ta 0.6250 0.6250 0.1250  -0.23



2.
A crystal of Ta2Cr relaxed with PBEsol, computed with SCAN.

Summary:
Total DFT energy (no corrections) in eV/f.u.: -149.96
Space group: Pnnm (58)
Spin magnetization in μB/cell: 0.0
Crystal system: orthorhombic

a = 2.8979 Å, b = 4.8237 Å, c = 7.1027 Å
α = 90.00°, β = 90.00°, γ = 90.00°
Atoms (fractional coordinates):
Cr 0.5000 0.5000 0.5000
Cr 0.0000 0.0000 0.0000
Ta 0.5000 0.9988 0.3052
Ta 0.5000 0.0012 0.6948
Ta 0.0000 0.4988 0.1948
Ta 0.0000 0.5012 0.8052



3.
A crystal of TaCr relaxed with PBEsol, computed with SCAN.

Summary:
Total DFT energy (no corrections) in eV/f.u.: -84.73
Space group: P2_1/m (11)
Spin magnetization in μB/cell: 0.0
Crystal system: monoclinic

a = 2.7810 Å, b = 4.2499 Å, c = 4.9942 Å
α = 90.00°, β = 101.16°, γ = 90.00°
Atoms (fractional coordinates):
Ta 0.8651 0.2500 0.6405
Ta 0.1349 0.7500 0.3595
Cr 0.3838 0.2500 0.1212
Cr 0.6162 0.7500 0.8788



Repeat the first record exactly.
A crystal of Ta2Cr relaxed with PBEsol, computed with SCAN.

Summary:
Total DFT energy (no corrections) in eV/f.u.: -149.86
Space group: Fd-3m (227)
Spin magnetization in μB/cell: 6.0
Crystal system: cubic

a = 5.2560 Å, b = 5.2560 Å, c = 5.2560 Å
α = 60.00°, β = 60.00°, γ = 60.00°
Site moments in Bohr magnetons follow the coordinates.
Atoms (fractional coordinates):
Cr 0.0000 0.0000 0.0000  3.27
Cr 0.2500 0.2500 0.2500  3.27
Ta 0.6250 0.6250 0.6250  -0.23
Ta 0.1250 0.6250 0.6250  -0.23
Ta 0.6250 0.1250 0.6250  -0.23
Ta 0.6250 0.6250 0.1250  -0.23